First-principles (PBE) data for a geometry-optimized Th8PbC6 structure, as listed in the Alexandria database.

The structure in POSCAR format:
```
Th8PbC6
1.0
5.085 2.936 4.062
-5.085 2.936 4.062
0.000 -5.872 4.062
Th Pb C
8 1 6
direct
0.105 0.358 0.789
0.211 0.895 0.642
0.225 0.225 0.225
0.358 0.789 0.105
0.642 0.211 0.895
0.775 0.775 0.775
0.789 0.105 0.358
0.895 0.642 0.211
0.500 0.500 0.500
0.082 0.685 0.892
0.108 0.918 0.315
0.315 0.108 0.918
0.685 0.892 0.082
0.892 0.082 0.685
0.918 0.315 0.108
```

## Properties
Size of the total moment = 0.000 μB per atom
Formation energy from the elements = -0.066 eV per atom
SG = R-3, No. 148
Crystal system = trigonal